DFT (PBE-GGA) results for a relaxed structure of Er3Ge13Os4.

CIF file:
```
data_Er3Ge13Os4
_chemical_formula_sum 'Er6 Ge26 Os8'
_space_group_name_H-M_alt 'P m -3 n'
_space_group_IT_number 223
_space_group_name_Hall '-P 4n 2 3'
_cell_length_a 9.0389
_cell_length_b 9.0389
_cell_length_c 9.0389
_cell_angle_alpha 90.00
_cell_angle_beta 90.00
_cell_angle_gamma 90.00
loop_
_atom_site_label
_atom_site_type_symbol
_atom_site_fract_x
_atom_site_fract_y
_atom_site_fract_z
Er1 Er 0.0000 0.2500 0.5000
Ge1 Ge 0.0000 0.0000 0.0000
Ge2 Ge 0.0000 0.2990 0.1445
Os1 Os 0.2500 0.2500 0.2500
```

Results
Total energy ... -6.264 eV/atom

---

DFT (PBE-GGA) results for a relaxed structure of Y2Zr4S3N3.

CIF file:
```
data_Y2Zr4S3N3
_chemical_formula_sum 'Y8 Zr16 S12 N12'
_space_group_name_H-M_alt 'C 1 2/c 1'
_space_group_IT_number 15
_cell_length_a 10.3693
_cell_length_b 5.9924
_cell_length_c 12.7422
_cell_angle_alpha 90.00
_cell_angle_beta 105.66
_cell_angle_gamma 90.00
loop_
_space_group_symop_operation_xyz
'x,y,z'
'-x,-y,-z'
'-x,y,-z+1/2'
'x,-y,z+1/2'
'x+1/2,y+1/2,z'
'-x+1/2,-y+1/2,-z'
'-x+1/2,y+1/2,-z+1/2'
'x+1/2,-y+1/2,z+1/2'
loop_
_atom_site_label
_atom_site_type_symbol
_atom_site_fract_x
_atom_site_fract_y
_atom_site_fract_z
Y1 Y 0.0465 0.0821 0.3938
Zr1 Zr 0.1156 0.4148 0.5963
Zr2 Zr 0.2188 0.4175 0.9037
S1 S 0.0000 0.4348 0.2500
S2 S 0.1761 0.0922 0.7508
N1 N 0.0849 0.2544 0.0000
N2 N 0.2500 0.2500 0.5000
```

Results
Total energy ... -8.720 eV/atom

---

DFT (PBE-GGA) results for a relaxed structure of GdAgSnTe2S.

CIF file:
```
data_GdAgSnTe2S
_chemical_formula_sum 'Gd4 Ag4 Sn4 Te8 S4'
_space_group_name_H-M_alt 'C m c m'
_space_group_IT_number 63
_space_group_name_Hall '-C 2c 2'
_cell_length_a 4.3452
_cell_length_b 14.4827
_cell_length_c 10.3872
_cell_angle_alpha 90.00
_cell_angle_beta 90.00
_cell_angle_gamma 90.00
loop_
_atom_site_label
_atom_site_type_symbol
_atom_site_fract_x
_atom_site_fract_y
_atom_site_fract_z
Gd1 Gd 0.0000 0.0000 0.0000
Ag1 Ag 0.0000 0.4839 0.2500
Sn1 Sn 0.0000 0.2741 0.7500
Te1 Te 0.0000 0.3491 0.0574
S1 S 0.0000 0.0822 0.2500
```

Results
Total energy ... -4.407 eV/atom